# Y2TeIr PBE relaxed
# * formation energy without anion corrections: -72.9 kJ/mol of atoms
# * DOS(E_F): 0.69 states/eV per atom
# * M_tot: 0.00 μB/f.u.
data_Y2TeIr
_symmetry_space_group_name_H-M 'C 1 2/m 1'
_symmetry_Int_Tables_number 12
_cell_length_a 7.203
_cell_length_b 7.227
_cell_length_c 3.641
_cell_angle_alpha 90.00
_cell_angle_beta 90.15
_cell_angle_gamma 90.00
loop_
_symmetry_equiv_pos_as_xyz
'x,y,z'
'-x,-y,-z'
'-x,y,-z'
'x,-y,z'
'x+1/2,y+1/2,z'
'-x+1/2,-y+1/2,-z'
'-x+1/2,y+1/2,-z'
'x+1/2,-y+1/2,z'
loop_
_atom_site_label
_atom_site_type_symbol
_atom_site_fract_x
_atom_site_fract_y
_atom_site_fract_z
Y1 Y 0.250 0.250 0.000
Te1 Te 0.000 0.000 0.500
Ir1 Ir 0.000 0.500 0.500



# YTeIr2 PBE relaxed
# * formation energy without anion corrections: -33.7 kJ/mol of atoms
# * DOS(E_F): 0.52 states/eV per atom
# * M_tot: 0.00 μB/f.u.
data_YTeIr2
_symmetry_space_group_name_H-M 'C 1 m 1'
_symmetry_Int_Tables_number 8
_cell_length_a 8.885
_cell_length_b 3.950
_cell_length_c 5.364
_cell_angle_alpha 90.00
_cell_angle_beta 113.08
_cell_angle_gamma 90.00
loop_
_symmetry_equiv_pos_as_xyz
'x,y,z'
'x,-y,z'
'x+1/2,y+1/2,z'
'x+1/2,-y+1/2,z'
loop_
_atom_site_label
_atom_site_type_symbol
_atom_site_fract_x
_atom_site_fract_y
_atom_site_fract_z
Y1 Y 0.000 0.000 0.000
Te1 Te 0.302 0.500 0.374
Ir1 Ir 0.040 0.500 0.628
Ir2 Ir 0.232 0.000 0.654



# YTe2Ir PBE relaxed
# * formation energy without anion corrections: -20.6 kJ/mol of atoms
# * DOS(E_F): 1.06 states/eV per atom
# * energy above the most stable polymorph in this dataset: 0.513 eV/atom
# * M_tot: 0.00 μB/f.u.
data_YTe2Ir
_symmetry_space_group_name_H-M 'F m -3 m'
_symmetry_Int_Tables_number 225
_symmetry_space_group_name_Hall '-F 4 2 3'
_cell_length_a 7.148
_cell_length_b 7.148
_cell_length_c 7.148
_cell_angle_alpha 90.00
_cell_angle_beta 90.00
_cell_angle_gamma 90.00
loop_
_atom_site_label
_atom_site_type_symbol
_atom_site_fract_x
_atom_site_fract_y
_atom_site_fract_z
Y1 Y 0.000 0.000 0.000
Te1 Te 0.250 0.250 0.250
Ir1 Ir 0.000 0.000 0.500



# Y8Te2Ir3 PBE relaxed
# * formation energy without anion corrections: -73.3 kJ/mol of atoms
# * DOS(E_F): 0.58 states/eV per atom
# * M_tot: 0.00 μB/f.u.
data_Y8Te2Ir3
_symmetry_space_group_name_H-M 'C m m m'
_symmetry_Int_Tables_number 65
_symmetry_space_group_name_Hall '-C 2 2'
_cell_length_a 9.745
_cell_length_b 15.149
_cell_length_c 4.837
_cell_angle_alpha 90.00
_cell_angle_beta 90.00
_cell_angle_gamma 90.00
loop_
_atom_site_label
_atom_site_type_symbol
_atom_site_fract_x
_atom_site_fract_y
_atom_site_fract_z
Y1 Y 0.000 0.106 0.000
Y2 Y 0.000 0.387 0.000
Y3 Y 0.247 0.391 0.500
Te1 Te 0.000 0.243 0.500
Ir1 Ir 0.000 0.500 0.500
Ir2 Ir 0.248 0.500 0.000



# YTeIr2 PBE relaxed
# * formation energy without anion corrections: -32.6 kJ/mol of atoms
# * DOS(E_F): 0.47 states/eV per atom
# * M_tot: 0.00 μB/f.u.
data_YTeIr2
_symmetry_space_group_name_H-M 'P 1 m 1'
_symmetry_Int_Tables_number 6
_cell_length_a 4.379
_cell_length_b 4.066
_cell_length_c 5.447
_cell_angle_alpha 90.00
_cell_angle_beta 112.51
_cell_angle_gamma 90.00
loop_
_symmetry_equiv_pos_as_xyz
'x,y,z'
'x,-y,z'
loop_
_atom_site_label
_atom_site_type_symbol
_atom_site_fract_x
_atom_site_fract_y
_atom_site_fract_z
Y1 Y 0.000 0.000 0.000
Te1 Te 0.611 0.500 0.400
Ir1 Ir 0.360 0.000 0.583
Ir2 Ir 0.407 0.500 0.886



# YTe2Ir PBE relaxed
# * formation energy without anion corrections: -54.6 kJ/mol of atoms
# * DOS(E_F): 1.14 states/eV per atom
# * energy above the most stable polymorph in this dataset: 0.161 eV/atom
# * M_tot: 0.00 μB/f.u.
data_YTe2Ir
_symmetry_space_group_name_H-M 'R 3 m'
_symmetry_Int_Tables_number 160
_symmetry_space_group_name_Hall 'R 3 -2"'
_cell_length_a 4.2097
_cell_length_b 4.2097
_cell_length_c 22.7848
_cell_angle_alpha 90.00
_cell_angle_beta 90.00
_cell_angle_gamma 120.00
loop_
_atom_site_label
_atom_site_type_symbol
_atom_site_fract_x
_atom_site_fract_y
_atom_site_fract_z
Y1 Y 0.0000 0.0000 0.0000
Te1 Te 0.0000 0.0000 0.5477
Te2 Te 0.0000 0.0000 0.7470
Ir1 Ir 0.0000 0.0000 0.2508



# Y2TeIr PBE relaxed
# * formation energy without anion corrections: -86.7 kJ/mol of atoms
# * DOS(E_F): 0.35 states/eV per atom
# * M_tot: 0.00 μB/f.u.
data_Y2TeIr
_symmetry_space_group_name_H-M 'P 1 2/m 1'
_symmetry_Int_Tables_number 10
_cell_length_a 3.644
_cell_length_b 3.599
_cell_length_c 7.370
_cell_angle_alpha 90.00
_cell_angle_beta 90.17
_cell_angle_gamma 90.00
loop_
_symmetry_equiv_pos_as_xyz
'x,y,z'
'-x,-y,-z'
'-x,y,-z'
'x,-y,z'
loop_
_atom_site_label
_atom_site_type_symbol
_atom_site_fract_x
_atom_site_fract_y
_atom_site_fract_z
Y1 Y 0.001 0.000 0.221
Te1 Te 0.500 0.500 0.500
Ir1 Ir 0.500 0.500 0.000



# YTeIr2 PBE relaxed
# * formation energy without anion corrections: -15.4 kJ/mol of atoms
# * DOS(E_F): 0.70 states/eV per atom
# * M_tot: 0.00 μB/f.u.
data_YTeIr2
_symmetry_space_group_name_H-M 'P m m 2'
_symmetry_Int_Tables_number 25
_cell_length_a 3.715
_cell_length_b 3.725
_cell_length_c 5.935
_cell_angle_alpha 90.00
_cell_angle_beta 90.00
_cell_angle_gamma 90.00
loop_
_symmetry_equiv_pos_as_xyz
'x,y,z'
'-x,-y,z'
'-x,y,z'
'x,-y,z'
loop_
_atom_site_label
_atom_site_type_symbol
_atom_site_fract_x
_atom_site_fract_y
_atom_site_fract_z
Y1 Y 0.000 0.000 0.000
Te1 Te 0.500 0.500 0.631
Ir1 Ir 0.000 0.000 0.494
Ir2 Ir 0.500 0.500 0.195